Density functional theory data (PBE-GGA) for GeSb2Te4 after structural relaxation.

Unit cell a=14.334 b=14.334 c=14.334 alpha=17.24 beta=17.24 gamma=17.24
Element x y z (fractional)
Te  0.128  0.128  0.128
Te  0.710  0.710  0.710
Te  0.289  0.289  0.289
Te  0.867  0.867  0.867
Sb  0.002  0.002  0.002
Sb  0.574  0.574  0.574
Ge  0.429  0.429  0.429

* SG: R3m (160)
* size of the total moment: 0.00 Bohr magnetons per cell
* total energy: -26.21 eV per cell